Density functional theory data (PBE) for crystalline TcAg3 at its relaxed geometry.

## Properties
**Energy of formation**: 0.71 eV/atom
**DOS at the Fermi energy**: 5.14 states/eV/cell

a = 5.2584 Å, b = 5.2584 Å, c = 5.2584 Å
α = 90.00°, β = 90.00°, γ = 90.00°
Site moments in Bohr magnetons follow the coordinates.
Element x y z (fractional)
Ag  0.5000  0.0000  0.2500  0.09
Ag  0.0000  0.2500  0.5000  0.09
Ag  0.7500  0.5000  0.0000  0.09
Ag  0.2500  0.5000  0.0000  0.09
Ag  0.0000  0.7500  0.5000  0.09
Tc  0.0000  0.0000  0.0000  2.89
Ag  0.5000  0.0000  0.7500  0.09
Tc  0.5000  0.5000  0.5000  2.89